Sr2BRh | PBE-GGA | optimized geometry

Cell lengths 7.821, 7.821, 6.373 Å; angles 90.00, 90.00, 90.00 degrees
Space group I-42d (No. 122)
Asymmetric unit:
1 Sr 0.239 0.750 0.125 (multiplicity 8)
2 B 0.000 0.000 0.000 (multiplicity 4)
3 Rh 0.000 0.000 0.500 (multiplicity 4)

Output
**Crystal system**: tetragonal
**Calculated total energy**: -56.8 eV per cell
**ρ**: 4.92 g/cm³
**Formation energy**: 795 meV/atom